Record 1
# KPuBiO6

Crystalline KPuBiO6 at its relaxed geometry (GGA-PBE, the Alexandria database).

a b c (Å): 5.945 5.945 11.194
angles (deg): 90.00 90.00 120.00
Element x y z (fractional)
1 K 0.000 0.000 0.000
2 K 0.000 0.000 0.500
3 Pu 0.333 0.667 0.250
4 Pu 0.667 0.333 0.750
5 Bi 0.333 0.667 0.750
6 Bi 0.667 0.333 0.250
7 O 0.043 0.402 0.151
8 O 0.043 0.642 0.349
9 O 0.358 0.402 0.349
10 O 0.358 0.957 0.151
11 O 0.402 0.043 0.651
12 O 0.402 0.358 0.849
13 O 0.598 0.642 0.151
14 O 0.598 0.957 0.349
15 O 0.642 0.043 0.849
16 O 0.642 0.598 0.651
17 O 0.957 0.358 0.651
18 O 0.957 0.598 0.849

Properties
symmetry	P-31c, No. 163
raw formation energy	-1.78	eV per atom
crystal system	trigonal


Record 2
# CdCuIr2

Crystalline CdCuIr2 at its relaxed geometry (GGA-PBE, the Alexandria database).

a b c (Å): 9.134 9.134 9.134
angles (deg): 17.59 17.59 17.59
Element x y z (fractional)
1 Cd 0.000 0.000 0.000
2 Cu 0.500 0.500 0.500
3 Ir 0.244 0.244 0.244
4 Ir 0.756 0.756 0.756

Properties
symmetry	R-3m, No. 166
energy of formation from the pure elements	0.22	eV per atom
crystal system	trigonal


Copy entry 1 word for word.
# KPuBiO6

Crystalline KPuBiO6 at its relaxed geometry (GGA-PBE, the Alexandria database).

a b c (Å): 5.945 5.945 11.194
angles (deg): 90.00 90.00 120.00
Element x y z (fractional)
1 K 0.000 0.000 0.000
2 K 0.000 0.000 0.500
3 Pu 0.333 0.667 0.250
4 Pu 0.667 0.333 0.750
5 Bi 0.333 0.667 0.750
6 Bi 0.667 0.333 0.250
7 O 0.043 0.402 0.151
8 O 0.043 0.642 0.349
9 O 0.358 0.402 0.349
10 O 0.358 0.957 0.151
11 O 0.402 0.043 0.651
12 O 0.402 0.358 0.849
13 O 0.598 0.642 0.151
14 O 0.598 0.957 0.349
15 O 0.642 0.043 0.849
16 O 0.642 0.598 0.651
17 O 0.957 0.358 0.651
18 O 0.957 0.598 0.849

Properties
symmetry	P-31c, No. 163
raw formation energy	-1.78	eV per atom
crystal system	trigonal